# Zn2Co3O8 | Alexandria | PBE+U | optimized geometry
# E above lowest polymorph = 0.60 eV per formula unit
# Fermi-level density of states = 2.20 states/eV/f.u.
# crystal system = monoclinic
data_Zn2Co3O8
_chemical_formula_sum 'Zn4 Co6 O16'
_cell_length_a 9.778
_cell_length_b 5.654
_cell_length_c 4.898
_cell_angle_alpha 90.00
_cell_angle_beta 103.29
_cell_angle_gamma 90.00
_space_group_name_H-M_alt 'C 1 2/m 1'
_space_group_IT_number 12
_space_group_name_Hall '-C 2y'
loop_
_atom_site_label
_atom_site_fract_x
_atom_site_fract_y
_atom_site_fract_z
Zn1 0.211 0.000 0.114
Co1 0.000 0.247 0.500
Co2 0.000 0.500 0.000
O1 0.100 0.500 0.380
O2 0.101 0.000 0.404
O3 0.113 0.275 0.872